[1]
{
  "formula": "Ba2TcAu",
  "functional": "PBEsol",
  "state": "relaxed",
  "lattice_angstrom": [[-2.3029, 1.0742, -2.4038], [1.5582, -4.0269, -3.2924], [-4.3727, -3.7478, 2.5144]],
  "species": ["Au", "Ba", "Ba", "Tc"],
  "frac_coords": [[0.5000, 0.5000, 0.8731], [0.5000, 0.5000, 0.3736], [0.0000, 0.0000, 0.8763], [0.0000, 0.0000, 0.3770]],
  "formation_enthalpy_0k_ev_per_atom": 0.628,
  "spacegroup": "Pmm2, No. 25",
  "magnetic_moment_mub_per_cell": 1.9,
  "vol_a3_per_cell": 119.4,
  "n_ef_per_ev_cell": 2.90,
  "total_energy_ev_per_cell": -16.97
}

---

[2]
{
  "formula": "MgSbF6",
  "functional": "PBEsol",
  "state": "relaxed",
  "lattice_angstrom": [[5.3363, 0.0000, 0.0000], [2.6682, 4.6214, 0.0000], [2.6682, 1.5405, 4.6581]],
  "species": ["F", "F", "F", "F", "F", "F", "Sb", "Mg"],
  "frac_coords": [[0.6391, 0.8556, 0.2527], [0.8556, 0.2526, 0.2527], [0.3609, 0.1444, 0.7473], [0.1444, 0.7474, 0.7473], [0.7474, 0.3609, 0.7473], [0.2526, 0.6391, 0.2527], [0.0000, 0.0000, 0.0000], [0.5000, 0.5000, 0.5000]],
  "spacegroup": "R-3, No. 148",
  "magnetic_moment_mub_per_cell": 0.4,
  "vol_a3_per_cell": 114.9,
  "n_ef_per_ev_cell": 3.63,
  "total_energy_ev_per_cell": -39.42,
  "raw_formation_energy_ev_per_fu": -21.59
}

---

[3]
{
  "formula": "TaZnRe2",
  "functional": "PBEsol",
  "state": "relaxed",
  "lattice_angstrom": [[3.1383, 0.0000, 0.0000], [0.0000, 4.4197, 0.0000], [-1.5692, -2.2099, 4.3675]],
  "species": ["Zn", "Re", "Re", "Ta"],
  "frac_coords": [[0.0000, 0.5000, 0.0000], [0.2432, 0.2432, 0.4863], [0.7568, 0.7568, 0.5137], [0.5000, 0.0000, 0.0000]],
  "formation_enthalpy_0k_ev_per_atom": 0.089,
  "spacegroup": "Immm, No. 71",
  "magnetic_moment_mub_per_cell": 0.0,
  "vol_a3_per_cell": 60.6,
  "n_ef_per_ev_cell": 2.47,
  "total_energy_ev_per_cell": -40.44
}

---

[4]
{
  "formula": "Si2IrW",
  "functional": "PBEsol",
  "state": "relaxed",
  "lattice_angstrom": [[2.7327, 0.0000, 0.0000], [0.0000, 2.7327, 0.0000], [0.0000, 0.0000, 7.7236]],
  "species": ["Ir", "W", "Si", "Si"],
  "frac_coords": [[0.5000, 0.5000, 0.7565], [0.0000, 0.0000, 0.5076], [0.0000, 0.0000, 0.9760], [0.5000, 0.5000, 0.2599]],
  "spacegroup": "P4mm, No. 99",
  "magnetic_moment_mub_per_cell": 0.0,
  "vol_a3_per_cell": 57.7,
  "n_ef_per_ev_cell": 0.90,
  "total_energy_ev_per_cell": -35.44,
  "raw_formation_energy_ev_per_fu": -0.31,
  "e_above_lowest_polymorph_mev_per_atom": 295
}

---

[5]
{
  "formula": "SrPtPb",
  "functional": "PBEsol",
  "state": "relaxed",
  "lattice_angstrom": [[-0.9794, -0.0066, 3.9292], [-3.0658, -3.5191, -0.7700], [4.4911, -0.9780, 1.1178]],
  "species": ["Sr", "Pt", "Pb"],
  "frac_coords": [[0.5000, 0.6667, 0.3333], [0.0000, 0.3333, 0.6667], [0.0000, 0.0000, 0.0000]],
  "formation_enthalpy_0k_ev_per_atom": -0.562,
  "spacegroup": "P-6m2, No. 187",
  "magnetic_moment_mub_per_cell": 0.0,
  "vol_a3_per_cell": 78.5,
  "n_ef_per_ev_cell": 1.56,
  "total_energy_ev_per_cell": -14.49
}

---

[6]
{
  "formula": "MgPW2",
  "functional": "PBEsol",
  "state": "relaxed",
  "lattice_angstrom": [[2.9558, 0.0000, -0.0044], [0.0000, 4.3499, 0.0000], [-1.3544, 0.0000, 4.8851]],
  "species": ["Mg", "P", "W", "W"],
  "frac_coords": [[0.4580, 0.0000, 0.5280], [0.0924, 0.5000, 0.7699], [0.1391, 0.0000, 0.9994], [0.8105, 0.5000, 0.2027]],
  "formation_enthalpy_0k_ev_per_atom": 0.247,
  "spacegroup": "Pm, No. 6",
  "magnetic_moment_mub_per_cell": 0.0,
  "vol_a3_per_cell": 62.8,
  "n_ef_per_ev_cell": 2.04,
  "total_energy_ev_per_cell": -34.14,
  "e_above_lowest_polymorph_mev_per_atom": 28
}

---

[7]
{
  "formula": "InNi2MoP",
  "functional": "PBEsol",
  "state": "relaxed",
  "lattice_angstrom": [[4.0501, 0.0000, 0.0000], [0.0000, 4.0501, 0.0000], [0.0000, 0.0000, 5.0015]],
  "species": ["Ni", "Ni", "In", "P", "Mo"],
  "frac_coords": [[0.0000, 0.5000, 0.0000], [0.5000, 0.0000, 0.0000], [0.0000, 0.0000, 0.5000], [0.0000, 0.0000, 0.0000], [0.5000, 0.5000, 0.5000]],
  "formation_enthalpy_0k_ev_per_atom": 0.720,
  "spacegroup": "P4/mmm, No. 123",
  "magnetic_moment_mub_per_cell": 1.1,
  "vol_a3_per_cell": 82.0,
  "n_ef_per_ev_cell": 4.29,
  "total_energy_ev_per_cell": -29.26
}

---

[8]
{
  "formula": "LiSb5",
  "functional": "PBEsol",
  "state": "relaxed",
  "lattice_angstrom": [[3.1836, 0.0000, 0.0000], [0.0000, 3.1836, 0.0000], [0.0000, 0.0000, 14.3524]],
  "species": ["Sb", "Sb", "Sb", "Sb", "Sb", "Li"],
  "frac_coords": [[0.0000, 0.0000, 0.1327], [0.0000, 0.0000, 0.5000], [0.0000, 0.0000, 0.8673], [0.5000, 0.5000, 0.3221], [0.5000, 0.5000, 0.6779], [0.5000, 0.5000, 0.0000]],
  "spacegroup": "P4/mmm, No. 123",
  "magnetic_moment_mub_per_cell": 0.0,
  "vol_a3_per_cell": 145.5,
  "n_ef_per_ev_cell": 3.87,
  "total_energy_ev_per_cell": -24.48,
  "raw_formation_energy_ev_per_fu": 0.28,
  "e_above_lowest_polymorph_mev_per_atom": 47
}